This record from Alexandria describes a geometry-optimized FeRuRh3 structure. The functional is PBE.

The structure in POSCAR format:
```
FeRuRh3
1.0
-1.032 -0.734 4.220
-3.391 -2.513 -1.267
2.618 -3.544 0.024
Ru Rh Fe
1 3 1
Cartesian
-0.903 -3.396 1.489
-1.695 -1.257 -0.633
1.309 -1.772 0.012
-0.516 -0.367 2.110
0.000 0.000 0.000
```

Summary:
Energy above the lowest structure with this stoichiometry ... 1.3180 eV per atom
Space-group type ... No. 221
ΔE_f ... 128.1 kJ/mol of atoms
Total energy ... -33.2 eV for the cell shown